1.
Entry from Alexandria: an optimized crystal structure of TlAg2Pt2 (PBE-GGA).

CIF file:
```
data_TlAg2Pt2
_chemical_formula_sum 'Tl2 Ag4 Pt4'
_cell_length_a 6.995
_cell_length_b 6.995
_cell_length_c 3.983
_cell_angle_alpha 90.00
_cell_angle_beta 90.00
_cell_angle_gamma 90.00
_space_group_name_H-M_alt 'P 4/m b m'
_space_group_IT_number 127
_space_group_name_Hall '-P 4 2ab'
loop_
_atom_site_label
_atom_site_type_symbol
_atom_site_fract_x
_atom_site_fract_y
_atom_site_fract_z
_atom_site_occupancy
Tl1 Tl 0.000 0.000 0.000 1
Ag1 Ag 0.161 0.339 0.500 1
Pt1 Pt 0.134 0.634 0.000 1
```

Results
energy relative to the elements: 60 meV/atom
DOS at the Fermi energy: 0.3964 states/eV per atom
energy above the most stable polymorph in this dataset: 0 meV/atom


2.
Entry from Alexandria: an optimized crystal structure of TlAgPt4 (PBE-GGA).

CIF file:
```
data_TlAgPt4
_chemical_formula_sum 'Tl4 Ag4 Pt16'
_cell_length_a 7.619
_cell_length_b 7.619
_cell_length_c 7.619
_cell_angle_alpha 90.00
_cell_angle_beta 90.00
_cell_angle_gamma 90.00
_space_group_name_H-M_alt 'F -4 3 m'
_space_group_IT_number 216
_space_group_name_Hall 'F -4 2 3'
loop_
_atom_site_label
_atom_site_type_symbol
_atom_site_fract_x
_atom_site_fract_y
_atom_site_fract_z
_atom_site_occupancy
Tl1 Tl 0.000 0.000 0.000 1
Ag1 Ag 0.250 0.250 0.750 1
Pt1 Pt 0.125 0.125 0.375 1
```

Results
energy relative to the elements: 20 meV/atom
DOS at the Fermi energy: 0.6090 states/eV per atom


| no. | calculated density (g cm⁻³) |
| --- | --- |
| 1 | 13.8 |
| 2 | 16.4 |